one | Material: BaCr2Rh
Method: DFT, PBE
State: relaxed

Theoretical density = 4.9 g cm⁻³
Symmetry = I4_1/amd (141)

a b c (Å): 8.8476 8.8476 8.8476
angles (deg): 144.46 144.46 51.14
Fractional positions:
Ba 0.3750 0.6250 0.7500
Ba 0.6250 0.3750 0.2500
Cr 0.0000 0.0000 0.0000
Cr 0.0000 0.0000 0.5000
Cr 0.0000 0.5000 0.0000
Cr 0.5000 0.0000 0.5000
Rh 0.1250 0.8750 0.2500
Rh 0.8750 0.1250 0.7500

two | Material: BaCr2Rh
Method: DFT, PBE
State: relaxed

Theoretical density = 7.1 g cm⁻³
Symmetry = Pmm2 (25)

a b c (Å): 3.1748 3.2472 7.8165
angles (deg): 90.00 90.00 90.00
Fractional positions:
Ba 0.0000 0.0000 0.0000
Cr 0.0000 0.0000 0.5187
Cr 0.5000 0.5000 0.3495
Rh 0.5000 0.5000 0.6892

Stability check: which of them is most stable? two.

one | Material: BaCr2Rh
Method: DFT, PBE
State: relaxed

Theoretical density = 6.1 g cm⁻³
Symmetry = Imm2 (44)

a b c (Å): 7.1592 7.1592 7.1592
angles (deg): 153.17 145.15 44.52
Fractional positions:
Ba 0.0000 0.0000 0.0000
Cr 0.2766 0.7766 0.5000
Cr 0.6519 0.6519 0.0000
Rh 0.7884 0.2884 0.5000

two | Material: BaCr2Rh
Method: DFT, PBE
State: relaxed

Theoretical density = 6.4 g cm⁻³
Symmetry = F-43m (216)

a b c (Å): 5.0114 5.0114 5.0114
angles (deg): 60.00 60.00 60.00
Fractional positions:
Ba 0.0000 0.0000 0.0000
Cr 0.5000 0.5000 0.5000
Cr 0.7500 0.7500 0.7500
Rh 0.2500 0.2500 0.2500

Stability check: which of them is most stable? one.

one | Material: BaCrRh3
Method: DFT, PBE
State: relaxed

Theoretical density = 8.2 g cm⁻³
Symmetry = Pm-3m (221)

a b c (Å): 4.6548 4.6548 4.6548
angles (deg): 90.00 90.00 90.00
Fractional positions:
Ba 0.0000 0.0000 0.0000
Cr 0.5000 0.5000 0.5000
Rh 0.0000 0.5000 0.5000
Rh 0.5000 0.0000 0.5000
Rh 0.5000 0.5000 0.0000

two | Material: BaCrRh3
Method: DFT, PBE
State: relaxed

Theoretical density = 6.7 g cm⁻³
Symmetry = Pm-3m (221)

a b c (Å): 4.9871 4.9871 4.9871
angles (deg): 90.00 90.00 90.00
Fractional positions:
Ba 0.0000 0.0000 0.0000
Cr 0.5000 0.5000 0.5000
Rh 0.0000 0.0000 0.5000
Rh 0.0000 0.5000 0.0000
Rh 0.5000 0.0000 0.0000

Stability check: which of them is most stable? one.

one | Material: Ba2Cr2Rh
Method: DFT, PBE
State: relaxed

Theoretical density = 5.7 g cm⁻³
Symmetry = I4/mmm (139)

a b c (Å): 5.6747 5.6747 5.6747
angles (deg): 111.44 111.44 105.61
Fractional positions:
Ba 0.2500 0.7500 0.5000
Ba 0.7500 0.2500 0.5000
Cr 0.1298 0.1298 0.0000
Cr 0.8702 0.8702 0.0000
Rh 0.5000 0.5000 0.0000

two | Material: Ba2Cr2Rh
Method: DFT, PBE
State: relaxed

Theoretical density = 6.8 g cm⁻³
Symmetry = P4/mbm (127)

a b c (Å): 6.5665 6.5665 5.4912
angles (deg): 90.00 90.00 90.00
Fractional positions:
Ba 0.1895 0.3105 0.0000
Ba 0.3105 0.8105 0.0000
Ba 0.6895 0.1895 0.0000
Ba 0.8105 0.6895 0.0000
Cr 0.1024 0.6024 0.5000
Cr 0.3976 0.1024 0.5000
Cr 0.6024 0.8976 0.5000
Cr 0.8976 0.3976 0.5000
Rh 0.0000 0.0000 0.5000
Rh 0.5000 0.5000 0.5000

Stability check: which of them is most stable? two.

one | Material: BaCr3Rh
Method: DFT, PBE
State: relaxed

Theoretical density = 5.4 g cm⁻³
Symmetry = Pm-3m (221)

a b c (Å): 4.9692 4.9692 4.9692
angles (deg): 90.00 90.00 90.00
Fractional positions:
Ba 0.0000 0.0000 0.0000
Cr 0.0000 0.5000 0.5000
Cr 0.5000 0.0000 0.5000
Cr 0.5000 0.5000 0.0000
Rh 0.5000 0.5000 0.5000

two | Material: BaCr3Rh
Method: DFT, PBE
State: relaxed

Theoretical density = 5.7 g cm⁻³
Symmetry = Pm-3m (221)

a b c (Å): 4.8689 4.8689 4.8689
angles (deg): 90.00 90.00 90.00
Fractional positions:
Ba 0.0000 0.0000 0.0000
Cr 0.0000 0.0000 0.5000
Cr 0.0000 0.5000 0.0000
Cr 0.5000 0.0000 0.0000
Rh 0.5000 0.5000 0.5000

Stability check: which of them is most stable? one.

one | Material: Ba2CrRu
Method: DFT, PBE
State: relaxed

Theoretical density = 6.0 g cm⁻³
Symmetry = Fm-3m (225)

a b c (Å): 5.5185 5.5185 5.5185
angles (deg): 60.00 60.00 60.00
Fractional positions:
Ba 0.2500 0.2500 0.2500
Ba 0.7500 0.7500 0.7500
Cr 0.0000 0.0000 0.0000
Ru 0.5000 0.5000 0.5000

two | Material: Ba2CrRu
Method: DFT, PBE
State: relaxed

Theoretical density = 5.9 g cm⁻³
Symmetry = P4/mmm (123)

a b c (Å): 5.3193 5.3193 4.2335
angles (deg): 90.00 90.00 90.00
Fractional positions:
Ba 0.0000 0.5000 0.0000
Ba 0.5000 0.0000 0.0000
Cr 0.0000 0.0000 0.5000
Ru 0.5000 0.5000 0.5000

Stability check: which of them is most stable? one.

one | Material: Ba2CrRu
Method: DFT, PBE
State: relaxed

Theoretical density = 5.7 g cm⁻³
Symmetry = Pmmm (47)

a b c (Å): 3.7096 3.7557 8.9138
angles (deg): 90.00 90.00 90.00
Fractional positions:
Ba 0.0000 0.0000 0.2115
Ba 0.0000 0.0000 0.7885
Cr 0.5000 0.5000 0.5000
Ru 0.5000 0.5000 0.0000

two | Material: Ba2CrRu
Method: DFT, PBE
State: relaxed

Theoretical density = 5.3 g cm⁻³
Symmetry = Amm2 (38)

a b c (Å): 4.3278 6.5742 6.5742
angles (deg): 45.37 90.00 90.00
Fractional positions:
Ba 0.0000 0.0000 0.0000
Ba 0.5000 0.2856 0.2856
Cr 0.0000 0.6832 0.6832
Ru 0.5000 0.6054 0.6054

three | Material: Ba2CrRu
Method: DFT, PBE
State: relaxed

Theoretical density = 5.3 g cm⁻³
Symmetry = C2/m (12)

a b c (Å): 4.5360 4.5360 9.1316
angles (deg): 96.65 96.65 45.81
Fractional positions:
Ba 0.2343 0.2343 0.2082
Ba 0.7657 0.7657 0.7918
Cr 0.0000 0.0000 0.5000
Ru 0.5000 0.5000 0.0000

Stability check: which of them is most stable? two.

one | Material: Ba2CrRu
Method: DFT, PBE
State: relaxed

Theoretical density = 5.0 g cm⁻³
Symmetry = Cm (8)

a b c (Å): 4.1884 4.1884 9.5934
angles (deg): 102.51 102.51 60.01
Fractional positions:
Ba 0.0000 0.0000 0.0000
Ba 0.1759 0.1759 0.5310
Cr 0.7543 0.7543 0.2661
Ru 0.4208 0.4208 0.2648

two | Material: Ba2CrRu
Method: DFT, PBE
State: relaxed

Theoretical density = 5.3 g cm⁻³
Symmetry = Imm2 (44)

a b c (Å): 7.0934 7.0934 7.0934
angles (deg): 145.88 137.48 55.61
Fractional positions:
Ba 0.0000 0.0000 0.0000
Ba 0.7254 0.2254 0.5000
Cr 0.4101 0.4101 0.0000
Ru 0.3272 0.8272 0.5000

Stability check: which of them is most stable? one.